Below is crystalline La2Ho4Tm at its relaxed geometry, with properties calculated at the PBE level.

```
data_La2Ho4Tm
_chemical_formula_sum 'La2 Ho4 Tm1'
_cell_length_a 5.5205
_cell_length_b 5.5205
_cell_length_c 9.5316
_cell_angle_alpha 106.83
_cell_angle_beta 106.83
_cell_angle_gamma 90.00
_space_group_name_H-M_alt 'P 1'
_space_group_IT_number 1
loop_
_space_group_symop_operation_xyz
'x,y,z'
loop_
_atom_site_label
_atom_site_fract_x
_atom_site_fract_y
_atom_site_fract_z
La1 0.6266 0.6266 0.2533
La2 0.3734 0.3734 0.7467
Ho1 0.8259 0.8259 0.6519
Ho2 0.1741 0.1741 0.3481
Ho3 0.0000 0.5000 0.0000
Ho4 0.5000 0.0000 0.0000
Tm1 0.0000 0.0000 0.0000
```

Summary:
total moment = 0.41 Bohr magnetons per cell
E_form = 14.67 kcal/mol of atoms